Entry 1:
Compound: Zr4SN
Source: Alexandria via LeMat-Bulk
Functional: PBE
Structure: optimized geometry

Summary:
The formation energy (no corrections) is -1013 meV/atom. Its space group is C2/m. The uncorrected energy is -52.7 eV per cell. The density of states at the Fermi level comes out at 3.56 states/eV/f.u. For the energy above the lowest structure with this stoichiometry, the calculation gives 0.35 eV per formula unit.

a = 3.4218 Å, b = 5.6867 Å, c = 6.1358 Å
α = 99.81°, β = 90.00°, γ = 107.51°
Sites, in units of the cell vectors:
Zr1 0.3806 0.7613 0.6082
Zr2 0.6194 0.2387 0.3918
Zr3 0.8726 0.7452 0.1640
Zr4 0.1274 0.2548 0.8360
N1 0.0000 0.0000 0.5000
S1 0.5000 0.0000 0.0000

=====

Entry 2:
Compound: PaCuGePd
Source: Alexandria via LeMat-Bulk
Functional: PBE
Structure: optimized geometry

Summary:
Its space group is F-43m. The value obtained for the formation energy is -1.07 eV/f.u. The uncorrected energy is -24.5 eV per cell. The density of states at the Fermi level comes out at 2.77 states/eV/f.u.

a = 4.6810 Å, b = 4.6810 Å, c = 4.6810 Å
α = 60.00°, β = 60.00°, γ = 60.00°
Sites, in units of the cell vectors:
Ge1 0.2500 0.2500 0.2500
Pd1 0.5000 0.5000 0.5000
Pa1 0.0000 0.0000 0.0000
Cu1 0.7500 0.7500 0.7500

=====

Entry 3:
Compound: Ca2NdPb3
Source: Alexandria via LeMat-Bulk
Functional: PBE
Structure: optimized geometry

Summary:
Its space group is Cmmm. The value obtained for the formation energy is -3.09 eV/f.u. The uncorrected energy is -46.0 eV per cell. The density of states at the Fermi level comes out at 3.68 states/eV/f.u. For the energy above the lowest structure with this stoichiometry, the calculation gives 0.03 eV per formula unit.

a = 5.0950 Å, b = 8.1499 Å, c = 9.1846 Å
α = 90.00°, β = 90.00°, γ = 71.79°
Sites, in units of the cell vectors:
Nd1 0.6637 0.6726 0.0000
Nd2 0.3363 0.3274 0.0000
Pb1 0.5000 0.0000 0.2508
Pb2 0.1673 0.6654 0.7495
Pb3 0.5000 0.0000 0.7492
Pb4 0.8327 0.3346 0.2505
Pb5 0.1673 0.6654 0.2505
Pb6 0.8327 0.3346 0.7495
Ca1 0.3344 0.3312 0.5000
Ca2 0.0000 0.0000 0.5000
Ca3 0.6656 0.6688 0.5000
Ca4 0.0000 0.0000 0.0000

=====

Entry 4:
Compound: MgRh2
Source: Alexandria via LeMat-Bulk
Functional: PBE
Structure: optimized geometry

Summary:
Its space group is I4_1/amd. The value obtained for the formation energy is 0.37 eV/f.u. The uncorrected energy is -31.9 eV per cell. The density of states at the Fermi level comes out at 3.41 states/eV/f.u.

a = 8.5477 Å, b = 8.5477 Å, c = 8.5477 Å
α = 155.65°, β = 155.65°, γ = 34.71°
Sites, in units of the cell vectors:
Rh1 0.3239 0.8239 0.5000
Rh2 0.5739 0.5739 0.0000
Rh3 0.1761 0.6761 0.5000
Rh4 0.4261 0.4261 0.0000
Mg1 0.0000 0.0000 0.0000
Mg2 0.7500 0.2500 0.5000

=====

Q: Which value of uncorrected energy does entry 3 give?
A: -46.0 eV per cell

=====

Q: Which value of uncorrected energy does entry 3 give?
A: -46.0 eV per cell

=====

Q: Among the records above, which one has the highest uncorrected energy?
A: PaCuGePd